## ZrOs2Br (GGA-PBE)

Data for a relaxed ZrOs2Br crystal. Values from VASP.

Calculated values
**Energy relative to the elements, uncorrected**: 2.0 eV/f.u.

Quantum ESPRESSO input file:
```
&SYSTEM
  ibrav = 0, nat = 4, ntyp = 3
/
ATOMIC_SPECIES
Os 190.23 Os.upf
Br 79.90 Br.upf
Zr 91.22 Zr.upf
ATOMIC_POSITIONS crystal
Os 0.263 0.263 0.160
Os 0.991 0.991 0.070
Br 0.748 0.748 0.714
Zr 0.498 0.498 0.556
CELL_PARAMETERS angstrom
-2.797 4.242 0.457
-4.530 1.885 1.397
0.654 1.331 4.542
```

=====

## LaTiCu2 (GGA-PBE)

Data for a relaxed LaTiCu2 crystal. Values from VASP.

Calculated values
**ΔH_f (0 K)**: 0.113 eV/atom

Quantum ESPRESSO input file:
```
&SYSTEM
  ibrav = 0, nat = 4, ntyp = 3
/
ATOMIC_SPECIES
La 138.91 La.upf
Cu 63.55 Cu.upf
Ti 47.87 Ti.upf
ATOMIC_POSITIONS crystal
La 0.500 0.500 0.500
Cu 0.750 0.750 0.750
Cu 0.250 0.250 0.250
Ti 0.000 0.000 0.000
CELL_PARAMETERS angstrom
0.000 3.414 3.414
3.414 0.000 3.414
3.414 3.414 0.000
```